The following is a DFT calculation (SCAN) of a PBEsol-optimized structure of CaAl4Sb.

For the magnetic moment, the calculation gives 0.000 μB per formula unit. Its raw formation energy is -83 meV per atom.

a = 7.8752 Å, b = 7.8752 Å, c = 7.8752 Å
α = 90.00°, β = 90.00°, γ = 90.00°
Space group F-43m (No. 216)
Asymmetric unit:
Ca (0.0000, 0.0000, 0.0000) x4
Al (0.1250, 0.1250, 0.3750) x16
Sb (0.2500, 0.2500, 0.7500) x4